DFT (GGA+U) results for a geometry-optimized Li3MnCoO5 structure.

```
Li3MnCoO5
1.0
12.018 -1.478 0.000
12.018 1.478 0.000
-0.552 0.000 5.043
Li Mn Co O
6 2 2 10
Cartesian
0.000 0.000 0.000
4.764 0.000 2.026
9.332 0.000 3.965
11.823 0.000 2.452
14.289 0.000 1.066
19.094 0.000 3.077
2.035 0.000 3.510
16.435 0.000 4.597
7.350 0.000 0.596
21.668 0.000 1.481
1.229 0.000 1.891
3.743 0.000 0.167
5.625 0.000 3.920
8.243 0.000 2.206
10.712 0.000 0.771
13.010 0.000 4.204
15.333 0.000 2.970
17.965 0.000 1.182
19.978 0.000 4.932
22.478 0.000 3.073
```

**Total moment**: 12.46 μB per cell
**Excess energy over the best structure of this formula in the dataset**: 89 meV per atom
**Total DFT energy (no corrections)**: -5.873 eV/atom